Record 1
A plane-wave DFT calculation with PBE was carried out for a geometry-optimized Te2AsPb structure.

abc: 6.3237 6.3237 9.1701
angles: 69.83 69.83 90.00
Sites, in units of the cell vectors:
1 As 0.2500 0.7500 0.5000
2 As 0.5000 0.5000 0.0000
3 Te 0.5736 0.1250 0.2500
4 Te 0.8750 0.8236 0.7500
5 Te 0.1764 0.6250 0.2500
6 Te 0.3750 0.4264 0.7500
7 Pb 0.7500 0.2500 0.5000
8 Pb 0.0000 0.0000 0.0000

Computed properties:
energy relative to the elements, uncorrected: 0.07 eV per atom
SG: I-42d
E above lowest polymorph: 0.148 eV per atom
density: 5.57 Mg/m³
E_tot: -3.59 eV/atom

Record 2
A plane-wave DFT calculation with PBE was carried out for a geometry-optimized ZnPAu2 structure.

abc: 4.5709 4.5709 4.5709
angles: 60.00 60.00 60.00
Sites, in units of the cell vectors:
1 Zn 0.5000 0.5000 0.5000
2 Au 0.7500 0.7500 0.7500
3 Au 0.2500 0.2500 0.2500
4 P 0.0000 0.0000 0.0000

Computed properties:
SG: Fm-3m
E above lowest polymorph: 0.171 eV per atom
density: 12.06 Mg/m³
E_tot: -3.07 eV/atom
formation energy from the elements: 243 meV/atom